The following is a DFT calculation (PBE) of Re3BiW after structural relaxation.

abc: 4.808 4.808 4.808
angles: 90.00 90.00 90.00
Site moments in Bohr magnetons follow the coordinates.
Atoms (fractional coordinates):
Re: 0.500 0.000 0.000  0.47
Re: 0.000 0.500 0.000  0.48
Re: 0.000 0.000 0.500  0.48
W: 0.000 0.000 0.000  -0.09
Bi: 0.500 0.500 0.500  -0.07

Results
Calculated total energy (Ry per atom): -0.6446
Energy above the most stable polymorph in this dataset (eV per formula unit): 0.00
Density of states at the Fermi level (states/eV per atom): 1.140
ΔH_f (0 K) (meV/atom): 2066